Compound: Ba3HoTl2O6
Source: Alexandria via LeMat-Bulk
Functional: PBE
Structure: optimized geometry

**E_form (uncorrected)**: -2132 meV per atom
**SG**: P-3m1, No. 164
**Total DFT energy (no corrections)**: -5.8675 eV per atom

Cell: 6.2961 6.2961 7.1039 Å, 90.00 90.00 120.00°
Sites, in units of the cell vectors:
O 0.8348 0.1652 0.6861
O 0.1652 0.3304 0.3139
O 0.6696 0.8348 0.3139
O 0.1652 0.8348 0.3139
Ho 0.0000 0.0000 0.5000
Tl 0.6667 0.3333 0.8727
O 0.8348 0.6696 0.6861
Tl 0.3333 0.6667 0.1273
Ba 0.0000 0.0000 0.0000
O 0.3304 0.1652 0.6861
Ba 0.6667 0.3333 0.3884
Ba 0.3333 0.6667 0.6116